This record from the Alexandria database describes an optimized crystal structure of CrBi2F. The functional is PBE with a Hubbard U.

```
data_CrBi2F
_chemical_formula_sum 'Cr4 Bi8 F4'
_cell_length_a 7.008
_cell_length_b 7.008
_cell_length_c 7.008
_cell_angle_alpha 90.00
_cell_angle_beta 90.00
_cell_angle_gamma 90.00
_symmetry_space_group_name_H-M 'F m -3 m'
_symmetry_Int_Tables_number 225
_symmetry_space_group_name_Hall '-F 4 2 3'
loop_
_atom_site_label
_atom_site_fract_x
_atom_site_fract_y
_atom_site_fract_z
Cr1 0.000 0.000 0.000
Bi1 0.250 0.250 0.250
F1 0.000 0.000 0.500
```

Results
DOS at the Fermi energy = 7.82 states/eV per cell
Energy = -74.980 eV/cell
Distance to the lowest polymorph of the same formula = 0 meV/atom
Volume = 344.22 Å³/cell